# Re2HgIBr | Alexandria | meta-GGA SCAN | PBEsol geometry
# DOS at the Fermi energy = 3.5 states/eV/f.u.
# E = -50.9862 eV per atom
data_Re2HgIBr
_cell_length_a 5.333
_cell_length_b 5.333
_cell_length_c 5.260
_cell_angle_alpha 90.00
_cell_angle_beta 90.00
_cell_angle_gamma 90.00
_space_group_name_H-M_alt 'P 1'
_space_group_IT_number 1
loop_
_space_group_symop_operation_xyz
'x,y,z'
loop_
_atom_site_label
_atom_site_type_symbol
_atom_site_fract_x
_atom_site_fract_y
_atom_site_fract_z
Re1 Re 0.000 0.500 0.000
Re2 Re 0.500 0.000 0.000
Hg1 Hg 0.000 0.000 0.000
I1 I 0.500 0.500 0.500
Br1 Br 0.000 0.000 0.500